Entry 1:
Material: MnCd2Br
Method: DFT, PBEsol
State: optimized geometry

Unit cell a=6.7958 b=6.7958 c=6.7958 alpha=153.17 beta=140.23 gamma=48.62
Closest atoms and distances in Å follow each position.
Atoms (fractional coordinates):
Mn (0.0000, 0.0000, 0.0000)  2 Br 2.57, 6 Cd 2.80-2.84
Cd (0.4629, 0.4629, 0.0000)  4 Mn 2.84, 4 Cd 2.96-3.15
Cd (0.8135, 0.3135, 0.5000)  2 Mn 2.80, 2 Cd 2.96
Br (0.1642, 0.6642, 0.5000)  2 Mn 2.57

Computed properties:
- ΔE_f (raw): 15 kJ/mol of atoms



Entry 2:
Material: La2CuHg
Method: DFT, PBEsol
State: optimized geometry

Unit cell a=3.7013 b=4.8957 c=5.4959 alpha=90.00 beta=90.00 gamma=90.00
Closest atoms and distances in Å follow each position.
Atoms (fractional coordinates):
La (0.0000, 0.0000, 0.0000)  4 Hg 3.16, 4 Cu 3.16-3.47, 2 La 3.29
La (0.0000, 0.5000, 0.4003)  4 Hg 3.15-3.48, 4 Cu 3.15, 2 La 3.29
Cu (0.5000, 0.0000, 0.5332)  2 Hg 3.05, 6 La 3.15-3.16
Hg (0.5000, 0.5000, 0.8649)  2 Cu 3.05, 6 La 3.15-3.16

Computed properties:
- Energy of formation from the pure elements: -0.294 eV per atom



Entry 3:
Material: Hf3ScCu
Method: DFT, PBEsol
State: optimized geometry

Unit cell a=4.8471 b=4.8471 c=4.8471 alpha=90.00 beta=90.00 gamma=90.00
Closest atoms and distances in Å follow each position.
Atoms (fractional coordinates):
Hf (0.0000, 0.0000, 0.5000)  2 Sc 2.42
Hf (0.0000, 0.5000, 0.0000)  2 Sc 2.42
Hf (0.5000, 0.0000, 0.0000)  2 Sc 2.42
Sc (0.0000, 0.0000, 0.0000)  6 Hf 2.42
Cu (0.5000, 0.5000, 0.5000)  12 Hf 3.43

Computed properties:
- Energy of formation from the pure elements: 1.512 eV per atom



Entry 4:
Material: ScMnRu2N
Method: DFT, PBEsol
State: optimized geometry

Unit cell a=3.9920 b=3.9920 c=4.1672 alpha=90.00 beta=90.00 gamma=90.00
Closest atoms and distances in Å follow each position.
Atoms (fractional coordinates):
Sc (0.0000, 0.0000, 0.0000)  2 N 2.08
Mn (0.5000, 0.5000, 0.0000)  4 Sc 2.82, 8 Ru 2.89
Ru (0.0000, 0.5000, 0.5000)  2 N 2.00
Ru (0.5000, 0.0000, 0.5000)  2 N 2.00
N (0.0000, 0.0000, 0.5000)  4 Ru 2.00, 2 Sc 2.08

Computed properties:
- ΔE_f (raw): -22 kJ/mol of atoms



Entry 5:
Material: KYReIr2
Method: DFT, PBEsol
State: optimized geometry

Unit cell a=4.8900 b=4.8900 c=4.9118 alpha=90.00 beta=90.00 gamma=90.00
Closest atoms and distances in Å follow each position.
Atoms (fractional coordinates):
K (0.0000, 0.0000, 0.0000)  2 Y 2.46
Y (0.0000, 0.0000, 0.5000)  4 Ir 2.44, 2 K 2.46
Re (0.5000, 0.5000, 0.0000)  4 K 3.46, 8 Ir 3.47
Ir (0.0000, 0.5000, 0.5000)  2 Y 2.44
Ir (0.5000, 0.0000, 0.5000)  2 Y 2.44

Computed properties:
- Energy of formation from the pure elements: 2.414 eV per atom



Entry 6:
Material: LaCd5
Method: DFT, PBEsol
State: optimized geometry

Unit cell a=6.6050 b=6.6050 c=4.8279 alpha=90.00 beta=90.00 gamma=137.91
Closest atoms and distances in Å follow each position.
Atoms (fractional coordinates):
La (0.0000, 0.0000, 0.0000)  12 Cd 3.22-3.38
Cd (0.1726, 0.8274, 0.5000)  6 Cd 3.02-3.19, 2 La 3.22
Cd (0.3197, 0.6803, 0.0000)  4 Cd 2.93-3.02, 2 La 3.25
Cd (0.5000, 0.5000, 0.5000)  8 Cd 3.19-3.28, 4 La 3.38
Cd (0.6803, 0.3197, 0.0000)  4 Cd 2.93-3.02, 2 La 3.25
Cd (0.8274, 0.1726, 0.5000)  6 Cd 3.02-3.19, 2 La 3.22

Computed properties:
- Energy of formation from the pure elements: -0.187 eV per atom



Magnetic moment list, top to bottom, in μB/cell: 3.65, 0.00, 0.00, 3.65, 3.95, 0.00